GGA-PBE AcBePtO5, relaxed; formation energy from raw total energies = -1.9065 eV/atom; symmetry = C2/c, No. 15
1.0
3.276 -4.588 0.000
3.276 4.588 0.000
-2.623 0.000 6.640
Ac Be Pt O
2 2 2 10
Direct
0.150 0.850 0.750
0.850 0.150 0.250
0.200 0.800 0.250
0.800 0.200 0.750
0.500 0.500 0.000
0.500 0.500 0.500
0.105 0.262 0.919
0.196 0.607 0.391
0.262 0.105 0.419
0.393 0.804 0.109
0.419 0.581 0.750
0.581 0.419 0.250
0.607 0.196 0.891
0.738 0.895 0.581
0.804 0.393 0.609
0.895 0.738 0.081